[1]
Computed, not measured: a relaxed structure of LiPtWAu at the GGA-PBE level of DFT.

Unit cell a=4.408 b=4.408 c=4.408 alpha=60.00 beta=60.00 gamma=60.00
Element x y z (fractional)
Au (0.250, 0.250, 0.250)
W (0.000, 0.000, 0.000)
Pt (0.500, 0.500, 0.500)
Li (0.750, 0.750, 0.750)

Properties
Energy above the most stable polymorph in this dataset in meV/atom: 246.6
Symmetry: No. 216

=====

[2]
Computed, not measured: a relaxed structure of TmInHgTe3 at the GGA-PBE level of DFT.

Unit cell a=7.923 b=7.923 c=11.510 alpha=90.00 beta=90.00 gamma=147.72
Element x y z (fractional)
Te (0.915, 0.085, 0.250)
Hg (0.462, 0.538, 0.750)
In (0.241, 0.759, 0.250)
Te (0.639, 0.361, 0.455)
Tm (0.000, 0.000, 0.500)
Te (0.361, 0.639, 0.955)
In (0.759, 0.241, 0.750)
Te (0.639, 0.361, 0.045)
Te (0.361, 0.639, 0.545)
Hg (0.538, 0.462, 0.250)
Tm (0.000, 0.000, 0.000)
Te (0.085, 0.915, 0.750)

Properties
Energy above the most stable polymorph in this dataset in meV/atom: 29.4
Symmetry: No. 63

=====

[3]
Computed, not measured: a relaxed structure of TbTe at the GGA-PBE level of DFT.

Unit cell a=4.106 b=4.106 c=4.080 alpha=90.00 beta=90.00 gamma=120.00
Last column: magnetic moment on the atom in μB.
Element x y z (fractional)
Te (0.333, 0.667, 0.250)  -0.01
Tb (0.667, 0.333, 0.750)  0.41

Properties
Symmetry: No. 187
E in eV per atom: -5.20

=====

[4]
Computed, not measured: a relaxed structure of Li2Y2NiGe2Pd at the GGA-PBE level of DFT.

Unit cell a=4.527 b=4.527 c=6.451 alpha=90.00 beta=90.00 gamma=90.00
Element x y z (fractional)
Ge (0.500, 0.000, 0.258)
Li (0.500, 0.500, 0.500)
Li (0.000, 0.000, 0.000)
Y (0.500, 0.000, 0.740)
Pd (0.500, 0.500, 0.000)
Ni (0.000, 0.000, 0.500)
Ge (0.000, 0.500, 0.742)
Y (0.000, 0.500, 0.260)

Properties
Symmetry: No. 115
E in eV per atom: -5.23

=====

no.,V (Å³/cell)
1,60.6
2,385.9
3,59.6
4,132.2